A geometry-optimized TiCoO3 structure. Source: Alexandria, functional PBE with a Hubbard U.

Cell lengths 3.8389, 3.8389, 3.8389 Å; angles 90.00, 90.00, 90.00 degrees
Sites, in units of the cell vectors:
Ti (0.0000, 0.0000, 0.0000)
Co (0.5000, 0.5000, 0.5000)
O (0.0000, 0.0000, 0.5000)
O (0.0000, 0.5000, 0.0000)
O (0.5000, 0.0000, 0.0000)

symmetry	No. 221
electronic total energy	-36.55	eV/cell
magnetic moment	3.0	μB/f.u.